VASP calculation (PBE) on PrGdPt2 after structural relaxation.

Output
Energy of formation, eV/atom: -1.08
ρ, kg/m3: 12451
Size of the total moment, μB/cell: 7.13

Cell: 3.5810 3.5810 7.1584 Å, 90.00 90.00 90.00°
With the nearest neighbours (Å) after each atom.
Space group P4/mmm (No. 123)
Symmetry-distinct sites (fractional):
Pr: 0.0000 0.0000 0.0000 x1  8 Pt 3.17
Gd: 0.0000 0.0000 0.5000 x1  8 Pt 3.04
Pt: 0.5000 0.5000 0.2653 x2  4 Gd 3.04, 4 Pr 3.17, 1 Pt 3.36